Material: LaCrO3
Method: DFT, GGA+U
State: relaxed

Values from the calculation:
The calculation puts the calculated total energy at -8.149 eV per atom. The calculation puts the density of states at the Fermi level at 0.00 states/eV per atom. Its total magnetization is 0.600 μB/atom.

a b c (Å): 5.664 5.664 5.264
angles (deg): 90.00 90.00 60.00
Each line ends with the local moment (μB).
Fractional coordinates of all 10 atoms:
1 O 0.306 0.763 0.754  -0.03
2 O 0.306 0.488 0.254  -0.03
3 O 0.755 0.764 0.254  -0.03
4 O 0.031 0.038 0.254  -0.03
5 O 0.030 0.488 0.754  -0.03
6 O 0.756 0.039 0.754  -0.03
7 La 0.697 0.430 0.004  0.02
8 La 0.364 0.097 0.504  0.02
9 Cr 0.031 0.763 0.004  2.97
10 Cr 0.031 0.763 0.504  2.97